1.
Crystalline MgFeGePt at its relaxed geometry, computed with PBE.

```
MgFeGePt
1.0
0.000 3.078 3.078
3.078 0.000 3.078
3.078 3.078 0.000
Mg Fe Ge Pt
1 1 1 1
Direct
0.000 0.000 0.000
0.750 0.750 0.750
0.500 0.500 0.500
0.250 0.250 0.250
```

## Properties
- Energy above the most stable polymorph in this dataset: 0.000 eV/atom
- Space-group type: No. 216
- V: 14.6 Å³ per atom



2.
Crystalline Y4Zr2In3N3 at its relaxed geometry, computed with PBE.

```
Y4Zr2In3N3
1.0
5.194 -3.004 0.000
5.194 3.004 0.000
-3.507 0.000 15.297
Y Zr In N
8 4 6 6
Direct
0.034 0.192 0.088
0.132 0.304 0.412
0.192 0.034 0.588
0.304 0.132 0.912
0.696 0.868 0.088
0.808 0.966 0.412
0.868 0.696 0.588
0.966 0.808 0.912
0.355 0.526 0.076
0.474 0.645 0.424
0.526 0.355 0.576
0.645 0.474 0.924
0.119 0.881 0.250
0.286 0.417 0.751
0.417 0.286 0.251
0.583 0.714 0.749
0.714 0.583 0.249
0.881 0.119 0.750
0.000 0.500 0.000
0.180 0.660 0.500
0.340 0.820 0.000
0.500 0.000 0.500
0.660 0.180 0.000
0.820 0.340 0.500
```

## Properties
- Total energy: -7.41 eV/atom
- Space-group type: No. 15
- V: 19.9 Å³ per atom



3.
Crystalline BaLiTbSe3 at its relaxed geometry, computed with PBE.

```
BaLiTbSe3
1.0
8.834 0.000 0.000
0.000 4.260 0.000
-2.446 0.000 9.003
Ba Li Tb Se
2 2 2 6
Direct
0.197 0.250 0.245
0.803 0.750 0.755
0.086 0.250 0.592
0.914 0.750 0.408
0.327 0.750 0.842
0.673 0.250 0.158
0.113 0.250 0.869
0.211 0.750 0.525
0.450 0.750 0.164
0.550 0.250 0.836
0.789 0.250 0.475
0.887 0.750 0.131
```

## Properties
- Energy above the most stable polymorph in this dataset: 0.018 eV/atom
- Space-group type: No. 11
- V: 28.2 Å³ per atom